Here is a relaxed Tb2RhPb2 crystal from the Alexandria database. Energies are from PBE.

The calculated volume is 256.6 Å³/cell. The value obtained for the total energy is -5.375 eV per atom. The calculation puts the formation energy at -0.5689 eV per atom. Its space-group type is No. 2.

Cell and atoms, written as POSCAR:
```
Tb2RhPb2
1.0
-1.186 -0.333 -4.350
2.014 -5.097 -2.506
-9.480 -4.306 0.561
Rh Tb Pb
2 4 4
Direct
0.399 0.882 0.319
0.601 0.118 0.681
0.669 0.337 0.327
0.050 0.765 0.133
0.950 0.235 0.867
0.331 0.663 0.673
0.110 0.236 0.547
0.890 0.764 0.453
0.346 0.196 0.113
0.654 0.804 0.887
```